# MgNb2Hg, optimized geometry, DFT GGA-PBE
data_MgNb2Hg
_chemical_formula_sum 'Mg4 Nb8 Hg4'
_cell_length_a 6.7399
_cell_length_b 6.7399
_cell_length_c 6.7399
_cell_angle_alpha 90.00
_cell_angle_beta 90.00
_cell_angle_gamma 90.00
_symmetry_space_group_name_H-M 'F m -3 m'
_symmetry_Int_Tables_number 225
_symmetry_space_group_name_Hall '-F 4 2 3'
loop_
_atom_site_label
_atom_site_fract_x
_atom_site_fract_y
_atom_site_fract_z
Mg1 0.0000 0.0000 0.0000
Nb1 0.2500 0.2500 0.2500
Hg1 0.0000 0.0000 0.5000
# Density of states at the Fermi level ... 1.755 states/eV per atom
# Total energy ... -5.032 eV per atom
# Calculated volume ... 19.136 A^3/atom
# Mass density ... 8.9 g/cm3
# Total magnetization ... 0.0 Bohr magnetons per cell
# Energy relative to the elements ... 477 meV per atom
# Relative energy among the computed polymorphs ... 0.0 meV/atom



# MgNb3Hg, optimized geometry, DFT GGA-PBE
data_MgNb3Hg
_chemical_formula_sum 'Mg1 Nb3 Hg1'
_cell_length_a 5.0921
_cell_length_b 5.0921
_cell_length_c 5.0921
_cell_angle_alpha 90.00
_cell_angle_beta 90.00
_cell_angle_gamma 90.00
_symmetry_space_group_name_H-M 'P m -3 m'
_symmetry_Int_Tables_number 221
_symmetry_space_group_name_Hall '-P 4 2 3'
loop_
_atom_site_label
_atom_site_fract_x
_atom_site_fract_y
_atom_site_fract_z
Mg1 0.0000 0.0000 0.0000
Nb1 0.0000 0.5000 0.5000
Hg1 0.5000 0.5000 0.5000
# Density of states at the Fermi level ... 1.513 states/eV per atom
# Total energy ... -4.662 eV per atom
# Calculated volume ... 26.407 A^3/atom
# Mass density ... 6.3 g/cm3
# Total magnetization ... 1.0 Bohr magnetons per cell
# Energy relative to the elements ... 1759 meV per atom
# Relative energy among the computed polymorphs ... 196.5 meV/atom



# Mg2NbHg, optimized geometry, DFT GGA-PBE
data_Mg2NbHg
_chemical_formula_sum 'Mg6 Nb3 Hg3'
_cell_length_a 3.0370
_cell_length_b 3.0370
_cell_length_c 31.8644
_cell_angle_alpha 90.00
_cell_angle_beta 90.00
_cell_angle_gamma 120.00
_symmetry_space_group_name_H-M 'R -3 m'
_symmetry_Int_Tables_number 166
_symmetry_space_group_name_Hall '-R 3 2"'
loop_
_atom_site_label
_atom_site_fract_x
_atom_site_fract_y
_atom_site_fract_z
Mg1 0.0000 0.0000 0.0892
Nb1 0.0000 0.0000 0.0000
Hg1 0.0000 0.0000 0.5000
# Density of states at the Fermi level ... 0.734 states/eV per atom
# Total energy ... -3.020 eV per atom
# Calculated volume ... 21.210 A^3/atom
# Mass density ... 6.7 g/cm3
# Total magnetization ... 0.0 Bohr magnetons per cell
# Energy relative to the elements ... 370 meV per atom



# MgNb2Hg, optimized geometry, DFT GGA-PBE
data_MgNb2Hg
_chemical_formula_sum 'Mg4 Nb8 Hg4'
_cell_length_a 7.8084
_cell_length_b 7.8084
_cell_length_c 5.3963
_cell_angle_alpha 90.00
_cell_angle_beta 90.00
_cell_angle_gamma 90.00
_symmetry_space_group_name_H-M 'I -4 2 d'
_symmetry_Int_Tables_number 122
_symmetry_space_group_name_Hall 'I -4 2bw'
loop_
_atom_site_label
_atom_site_fract_x
_atom_site_fract_y
_atom_site_fract_z
Mg1 0.0000 0.0000 0.0000
Nb1 0.2436 0.2500 0.6250
Hg1 0.0000 0.0000 0.5000
# Density of states at the Fermi level ... 0.396 states/eV per atom
# Total energy ... -4.876 eV per atom
# Calculated volume ... 20.564 A^3/atom
# Mass density ... 8.3 g/cm3
# Total magnetization ... 0.0 Bohr magnetons per cell
# Energy relative to the elements ... 633 meV per atom
# Relative energy among the computed polymorphs ... 155.8 meV/atom



# Mg3NbHg, optimized geometry, DFT GGA-PBE
data_Mg3NbHg
_chemical_formula_sum 'Mg3 Nb1 Hg1'
_cell_length_a 5.5817
_cell_length_b 5.5817
_cell_length_c 5.5817
_cell_angle_alpha 90.00
_cell_angle_beta 90.00
_cell_angle_gamma 90.00
_symmetry_space_group_name_H-M 'P m -3 m'
_symmetry_Int_Tables_number 221
_symmetry_space_group_name_Hall '-P 4 2 3'
loop_
_atom_site_label
_atom_site_fract_x
_atom_site_fract_y
_atom_site_fract_z
Mg1 0.0000 0.0000 0.5000
Nb1 0.0000 0.0000 0.0000
Hg1 0.5000 0.5000 0.5000
# Density of states at the Fermi level ... 0.421 states/eV per atom
# Total energy ... -2.016 eV per atom
# Calculated volume ... 34.781 A^3/atom
# Mass density ... 3.5 g/cm3
# Total magnetization ... 4.4 Bohr magnetons per cell
# Energy relative to the elements ... 1015 meV per atom
# Relative energy among the computed polymorphs ... 198.4 meV/atom



# Mg2NbHg, optimized geometry, DFT GGA-PBE
data_Mg2NbHg
_chemical_formula_sum 'Mg8 Nb4 Hg4'
_cell_length_a 7.6733
_cell_length_b 7.6733
_cell_length_c 5.8296
_cell_angle_alpha 90.00
_cell_angle_beta 90.00
_cell_angle_gamma 90.00
_symmetry_space_group_name_H-M 'I -4 2 d'
_symmetry_Int_Tables_number 122
_symmetry_space_group_name_Hall 'I -4 2bw'
loop_
_atom_site_label
_atom_site_fract_x
_atom_site_fract_y
_atom_site_fract_z
Mg1 0.2321 0.2500 0.1250
Nb1 0.0000 0.0000 0.5000
Hg1 0.0000 0.0000 0.0000
# Density of states at the Fermi level ... 1.170 states/eV per atom
# Total energy ... -2.900 eV per atom
# Calculated volume ... 21.452 A^3/atom
# Mass density ... 6.6 g/cm3
# Total magnetization ... 0.0 Bohr magnetons per cell
# Energy relative to the elements ... 490 meV per atom